Li2Ac2Mg3 | PBE | relaxed

Calculated values
DFT total energy   -2.386 eV/atom
Magnetization   0.00 μB/f.u.
Calculated formation energy   0.0181 eV/atom
V   29.19 Å³/atom

Structure (CIF):
```
data_Li2Ac2Mg3
_chemical_formula_sum 'Li4 Ac4 Mg6'
_symmetry_space_group_name_H-M 'C 1 2/m 1'
_symmetry_Int_Tables_number 12
_cell_length_a 11.3045
_cell_length_b 5.2398
_cell_length_c 7.3329
_cell_angle_alpha 90.00
_cell_angle_beta 109.79
_cell_angle_gamma 90.00
loop_
_symmetry_equiv_pos_as_xyz
'x,y,z'
'-x,-y,-z'
'-x,y,-z'
'x,-y,z'
'x+1/2,y+1/2,z'
'-x+1/2,-y+1/2,-z'
'-x+1/2,y+1/2,-z'
'x+1/2,-y+1/2,z'
loop_
_atom_site_label
_atom_site_type_symbol
_atom_site_fract_x
_atom_site_fract_y
_atom_site_fract_z
Li1 Li 0.0895 0.0000 0.1877
Ac1 Ac 0.1221 0.5000 0.8392
Mg1 Mg 0.0000 0.0000 0.5000
Mg2 Mg 0.2108 0.5000 0.3734
```

---

KTlIr2 | PBE | relaxed

Calculated values
DFT total energy   -4.541 eV/atom
Magnetization   0.00 μB/f.u.
Calculated formation energy   0.7550 eV/atom
Excess energy over the best structure of this formula in the dataset   443 meV/atom
V   22.94 Å³/atom

Structure (CIF):
```
data_KTlIr2
_chemical_formula_sum 'K1 Tl1 Ir2'
_symmetry_space_group_name_H-M 'P 1 2/m 1'
_symmetry_Int_Tables_number 10
_cell_length_a 2.8717
_cell_length_b 4.9566
_cell_length_c 6.5097
_cell_angle_alpha 90.00
_cell_angle_beta 98.07
_cell_angle_gamma 90.00
loop_
_symmetry_equiv_pos_as_xyz
'x,y,z'
'-x,-y,-z'
'-x,y,-z'
'x,-y,z'
loop_
_atom_site_label
_atom_site_type_symbol
_atom_site_fract_x
_atom_site_fract_y
_atom_site_fract_z
K1 K 0.0000 0.0000 0.0000
Tl1 Tl 0.5000 0.0000 0.5000
Ir1 Ir 0.2990 0.5000 0.6689
```

---

SrCdSnPd3 | PBE | relaxed

Calculated values
DFT total energy   -4.098 eV/atom
Magnetization   0.00 μB/f.u.
Calculated formation energy   -0.4016 eV/atom
V   22.97 Å³/atom

Structure (CIF):
```
data_SrCdSnPd3
_chemical_formula_sum 'Sr4 Cd4 Sn4 Pd12'
_symmetry_space_group_name_H-M 'C m c m'
_symmetry_Int_Tables_number 63
_symmetry_space_group_name_Hall '-C 2c 2'
_cell_length_a 6.6442
_cell_length_b 12.5744
_cell_length_c 6.5982
_cell_angle_alpha 90.00
_cell_angle_beta 90.00
_cell_angle_gamma 90.00
loop_
_atom_site_label
_atom_site_type_symbol
_atom_site_fract_x
_atom_site_fract_y
_atom_site_fract_z
Sr1 Sr 0.0000 0.1839 0.2500
Cd1 Cd 0.0000 0.4316 0.2500
Sn1 Sn 0.0000 0.1330 0.7500
Pd1 Pd 0.0000 0.3446 0.7500
Pd2 Pd 0.2108 0.0000 0.0000
```

---

ZrBRh3 | PBE | relaxed

Calculated values
DFT total energy   -7.770 eV/atom
Magnetization   0.00 μB/f.u.
Calculated formation energy   -0.3136 eV/atom
V   14.14 Å³/atom

Structure (CIF):
```
data_ZrBRh3
_chemical_formula_sum 'Zr2 B2 Rh6'
_symmetry_space_group_name_H-M 'P 63/m m c'
_symmetry_Int_Tables_number 194
_symmetry_space_group_name_Hall '-P 6c 2c'
_cell_length_a 4.3812
_cell_length_b 4.3812
_cell_length_c 8.5080
_cell_angle_alpha 90.00
_cell_angle_beta 90.00
_cell_angle_gamma 120.00
loop_
_atom_site_label
_atom_site_type_symbol
_atom_site_fract_x
_atom_site_fract_y
_atom_site_fract_z
Zr1 Zr 0.3333 0.6667 0.2500
B1 B 0.0000 0.0000 0.0000
Rh1 Rh 0.0000 0.0000 0.2500
Rh2 Rh 0.3333 0.6667 0.5740
```

---

V2CoAu | PBE | relaxed

Calculated values
DFT total energy   -6.659 eV/atom
Magnetization   0.09 μB/f.u.
Calculated formation energy   0.4960 eV/atom
Excess energy over the best structure of this formula in the dataset   516 meV/atom
V   14.77 Å³/atom

Structure (CIF):
```
data_V2CoAu
_chemical_formula_sum 'V8 Co4 Au4'
_symmetry_space_group_name_H-M 'I -4 2 d'
_symmetry_Int_Tables_number 122
_symmetry_space_group_name_Hall 'I -4 2bw'
_cell_length_a 3.6567
_cell_length_b 3.6567
_cell_length_c 17.6696
_cell_angle_alpha 90.00
_cell_angle_beta 90.00
_cell_angle_gamma 90.00
loop_
_atom_site_label
_atom_site_type_symbol
_atom_site_fract_x
_atom_site_fract_y
_atom_site_fract_z
V1 V 0.2282 0.2500 0.1250
Co1 Co 0.0000 0.0000 0.0000
Au1 Au 0.0000 0.0000 0.5000
```

---

BiPCl | PBE | relaxed

Calculated values
DFT total energy   -4.129 eV/atom
Magnetization   0.00 μB/f.u.
Excess energy over the best structure of this formula in the dataset   0 meV/atom
E_form (uncorrected)   -0.416 eV/atom
V   27.95 Å³/atom

Structure (CIF):
```
data_BiPCl
_chemical_formula_sum 'Bi2 P2 Cl2'
_symmetry_space_group_name_H-M 'P -1'
_symmetry_Int_Tables_number 2
_cell_length_a 4.2757
_cell_length_b 5.2199
_cell_length_c 8.2789
_cell_angle_alpha 95.30
_cell_angle_beta 90.16
_cell_angle_gamma 114.15
loop_
_symmetry_equiv_pos_as_xyz
'x,y,z'
'-x,-y,-z'
loop_
_atom_site_label
_atom_site_type_symbol
_atom_site_fract_x
_atom_site_fract_y
_atom_site_fract_z
Bi1 Bi 0.1760 0.3544 0.2765
P1 P 0.3927 0.7852 0.5310
Cl1 Cl 0.1321 0.2600 0.8411
```

---

TiMnSiOs | PBE | relaxed

Calculated values
DFT total energy   -8.981 eV/atom
Magnetization   0.88 μB/f.u.
E_form (uncorrected)   -0.552 eV/atom
V   13.01 Å³/atom

Structure (CIF):
```
data_TiMnSiOs
_chemical_formula_sum 'Ti4 Mn4 Si4 Os4'
_symmetry_space_group_name_H-M 'F -4 3 m'
_symmetry_Int_Tables_number 216
_symmetry_space_group_name_Hall 'F -4 2 3'
_cell_length_a 5.9259
_cell_length_b 5.9259
_cell_length_c 5.9259
_cell_angle_alpha 90.00
_cell_angle_beta 90.00
_cell_angle_gamma 90.00
loop_
_atom_site_label
_atom_site_type_symbol
_atom_site_fract_x
_atom_site_fract_y
_atom_site_fract_z
Ti1 Ti 0.0000 0.0000 0.0000
Mn1 Mn 0.2500 0.2500 0.2500
Si1 Si 0.0000 0.0000 0.5000
Os1 Os 0.2500 0.2500 0.7500
```

---

TbPa2Co | PBE | relaxed

Calculated values
DFT total energy   -7.667 eV/atom
Magnetization   0.00 μB/f.u.
Calculated formation energy   0.0149 eV/atom
Excess energy over the best structure of this formula in the dataset   14 meV/atom
V   24.08 Å³/atom

Structure (CIF):
```
data_TbPa2Co
_chemical_formula_sum 'Tb3 Pa6 Co3'
_symmetry_space_group_name_H-M 'R 3 m'
_symmetry_Int_Tables_number 160
_symmetry_space_group_name_Hall 'R 3 -2"'
_cell_length_a 3.5122
_cell_length_b 3.5122
_cell_length_c 27.0526
_cell_angle_alpha 90.00
_cell_angle_beta 90.00
_cell_angle_gamma 120.00
loop_
_atom_site_label
_atom_site_type_symbol
_atom_site_fract_x
_atom_site_fract_y
_atom_site_fract_z
Tb1 Tb 0.0000 0.0000 0.0000
Pa1 Pa 0.0000 0.0000 0.5654
Pa2 Pa 0.0000 0.0000 0.7732
Co1 Co 0.0000 0.0000 0.1727
```

---

BiIr3F | PBE | relaxed

Calculated values
DFT total energy   -4.280 eV/atom
Magnetization   2.79 μB/f.u.
Excess energy over the best structure of this formula in the dataset   1058 meV/atom
E_form (uncorrected)   2.187 eV/atom
V   26.14 Å³/atom

Structure (CIF):
```
data_BiIr3F
_chemical_formula_sum 'Bi1 Ir3 F1'
_symmetry_space_group_name_H-M 'P m -3 m'
_symmetry_Int_Tables_number 221
_symmetry_space_group_name_Hall '-P 4 2 3'
_cell_length_a 5.0747
_cell_length_b 5.0747
_cell_length_c 5.0747
_cell_angle_alpha 90.00
_cell_angle_beta 90.00
_cell_angle_gamma 90.00
loop_
_atom_site_label
_atom_site_type_symbol
_atom_site_fract_x
_atom_site_fract_y
_atom_site_fract_z
Bi1 Bi 0.0000 0.0000 0.0000
Ir1 Ir 0.0000 0.0000 0.5000
F1 F 0.5000 0.5000 0.5000
```

---

HgRh3W | PBE | relaxed

Calculated values
DFT total energy   -6.051 eV/atom
Magnetization   0.00 μB/f.u.
Calculated formation energy   1.0104 eV/atom
Excess energy over the best structure of this formula in the dataset   0 meV/atom
V   21.10 Å³/atom

Structure (CIF):
```
data_HgRh3W
_chemical_formula_sum 'Hg1 Rh3 W1'
_symmetry_space_group_name_H-M 'P m -3 m'
_symmetry_Int_Tables_number 221
_symmetry_space_group_name_Hall '-P 4 2 3'
_cell_length_a 4.7255
_cell_length_b 4.7255
_cell_length_c 4.7255
_cell_angle_alpha 90.00
_cell_angle_beta 90.00
_cell_angle_gamma 90.00
loop_
_atom_site_label
_atom_site_type_symbol
_atom_site_fract_x
_atom_site_fract_y
_atom_site_fract_z
Hg1 Hg 0.0000 0.0000 0.0000
Rh1 Rh 0.0000 0.5000 0.5000
W1 W 0.5000 0.5000 0.5000
```

---

Sr2CaCr | PBE | relaxed

Calculated values
DFT total energy   -3.220 eV/atom
Magnetization   4.65 μB/f.u.
Calculated formation energy   0.5276 eV/atom
Excess energy over the best structure of this formula in the dataset   128 meV/atom
V   41.72 Å³/atom

Structure (CIF):
```
data_Sr2CaCr
_chemical_formula_sum 'Sr6 Ca3 Cr3'
_symmetry_space_group_name_H-M 'R -3 m'
_symmetry_Int_Tables_number 166
_symmetry_space_group_name_Hall '-R 3 2"'
_cell_length_a 4.0590
_cell_length_b 4.0590
_cell_length_c 35.0901
_cell_angle_alpha 90.00
_cell_angle_beta 90.00
_cell_angle_gamma 120.00
loop_
_atom_site_label
_atom_site_type_symbol
_atom_site_fract_x
_atom_site_fract_y
_atom_site_fract_z
Sr1 Sr 0.0000 0.0000 0.2358
Ca1 Ca 0.0000 0.0000 0.0000
Cr1 Cr 0.0000 0.0000 0.5000
```

---

SrPbAu3 | PBE | relaxed

Calculated values
DFT total energy   -2.632 eV/atom
Magnetization   0.00 μB/f.u.
Calculated formation energy   0.4125 eV/atom
Excess energy over the best structure of this formula in the dataset   878 meV/atom
V   35.61 Å³/atom

Structure (CIF):
```
data_SrPbAu3
_chemical_formula_sum 'Sr1 Pb1 Au3'
_symmetry_space_group_name_H-M 'P m -3 m'
_symmetry_Int_Tables_number 221
_symmetry_space_group_name_Hall '-P 4 2 3'
_cell_length_a 5.6257
_cell_length_b 5.6257
_cell_length_c 5.6257
_cell_angle_alpha 90.00
_cell_angle_beta 90.00
_cell_angle_gamma 90.00
loop_
_atom_site_label
_atom_site_type_symbol
_atom_site_fract_x
_atom_site_fract_y
_atom_site_fract_z
Sr1 Sr 0.0000 0.0000 0.0000
Pb1 Pb 0.5000 0.5000 0.5000
Au1 Au 0.0000 0.0000 0.5000
```

---

Nb2Zn2Pt3 | PBE | relaxed

Calculated values
DFT total energy   -6.094 eV/atom
Magnetization   0.00 μB/f.u.
Calculated formation energy   -0.2642 eV/atom
V   16.23 Å³/atom

Structure (CIF):
```
data_Nb2Zn2Pt3
_chemical_formula_sum 'Nb4 Zn4 Pt6'
_symmetry_space_group_name_H-M 'C m m m'
_symmetry_Int_Tables_number 65
_symmetry_space_group_name_Hall '-C 2 2'
_cell_length_a 4.1959
_cell_length_b 19.4742
_cell_length_c 2.7815
_cell_angle_alpha 90.00
_cell_angle_beta 90.00
_cell_angle_gamma 90.00
loop_
_atom_site_label
_atom_site_type_symbol
_atom_site_fract_x
_atom_site_fract_y
_atom_site_fract_z
Nb1 Nb 0.0000 0.2058 0.0000
Zn1 Zn 0.0000 0.0645 0.0000
Pt1 Pt 0.0000 0.3533 0.5000
Pt2 Pt 0.0000 0.5000 0.5000
```

---

TaMn2Ni | PBE | relaxed

Calculated values
DFT total energy   -9.009 eV/atom
Magnetization   2.38 μB/f.u.
Calculated formation energy   -0.0158 eV/atom
Excess energy over the best structure of this formula in the dataset   35 meV/atom
V   12.84 Å³/atom

Structure (CIF):
```
data_TaMn2Ni
_chemical_formula_sum 'Ta2 Mn4 Ni2'
_symmetry_space_group_name_H-M 'I m m 2'
_symmetry_Int_Tables_number 44
_cell_length_a 3.6433
_cell_length_b 3.6765
_cell_length_c 7.6699
_cell_angle_alpha 90.00
_cell_angle_beta 90.00
_cell_angle_gamma 90.00
loop_
_symmetry_equiv_pos_as_xyz
'x,y,z'
'-x,-y,z'
'-x,y,z'
'x,-y,z'
'x+1/2,y+1/2,z+1/2'
'-x+1/2,-y+1/2,z+1/2'
'-x+1/2,y+1/2,z+1/2'
'x+1/2,-y+1/2,z+1/2'
loop_
_atom_site_label
_atom_site_type_symbol
_atom_site_fract_x
_atom_site_fract_y
_atom_site_fract_z
Ta1 Ta 0.0000 0.0000 0.0000
Mn1 Mn 0.0000 0.0000 0.4989
Mn2 Mn 0.0000 0.5000 0.7503
Ni1 Ni 0.0000 0.5000 0.2493
```

---

PrGd2Tc | PBE | relaxed

Calculated values
DFT total energy   -10.571 eV/atom
Magnetization   14.89 μB/f.u.
Calculated formation energy   0.2556 eV/atom
Excess energy over the best structure of this formula in the dataset   217 meV/atom
V   28.71 Å³/atom

Structure (CIF):
```
data_PrGd2Tc
_chemical_formula_sum 'Pr3 Gd6 Tc3'
_symmetry_space_group_name_H-M 'R -3 m'
_symmetry_Int_Tables_number 166
_symmetry_space_group_name_Hall '-R 3 2"'
_cell_length_a 3.4722
_cell_length_b 3.4722
_cell_length_c 32.9998
_cell_angle_alpha 90.00
_cell_angle_beta 90.00
_cell_angle_gamma 120.00
loop_
_atom_site_label
_atom_site_type_symbol
_atom_site_fract_x
_atom_site_fract_y
_atom_site_fract_z
Pr1 Pr 0.0000 0.0000 0.0000
Gd1 Gd 0.0000 0.0000 0.1053
Tc1 Tc 0.0000 0.0000 0.5000
```

---

SrAgS2Cl | PBE | relaxed

Calculated values
DFT total energy   -3.048 eV/atom
Magnetization   2.01 μB/f.u.
Excess energy over the best structure of this formula in the dataset   608 meV/atom
E_form (uncorrected)   -0.121 eV/atom
V   36.11 Å³/atom

Structure (CIF):
```
data_SrAgS2Cl
_chemical_formula_sum 'Sr1 Ag1 S2 Cl1'
_symmetry_space_group_name_H-M 'P 4/m m m'
_symmetry_Int_Tables_number 123
_symmetry_space_group_name_Hall '-P 4 2'
_cell_length_a 5.7133
_cell_length_b 5.7133
_cell_length_c 5.5308
_cell_angle_alpha 90.00
_cell_angle_beta 90.00
_cell_angle_gamma 90.00
loop_
_atom_site_label
_atom_site_type_symbol
_atom_site_fract_x
_atom_site_fract_y
_atom_site_fract_z
Sr1 Sr 0.0000 0.0000 0.0000
Ag1 Ag 0.5000 0.5000 0.5000
S1 S 0.0000 0.5000 0.0000
Cl1 Cl 0.0000 0.0000 0.5000
```

---

RuN2Cl2 | PBE | relaxed

Calculated values
DFT total energy   -5.393 eV/atom
Magnetization   1.41 μB/f.u.
Excess energy over the best structure of this formula in the dataset   0 meV/atom
E_form (uncorrected)   0.531 eV/atom
V   18.96 Å³/atom

Structure (CIF):
```
data_RuN2Cl2
_chemical_formula_sum 'Ru2 N4 Cl4'
_symmetry_space_group_name_H-M 'I 4/m m m'
_symmetry_Int_Tables_number 139
_symmetry_space_group_name_Hall '-I 4 2'
_cell_length_a 6.1489
_cell_length_b 6.1489
_cell_length_c 5.0139
_cell_angle_alpha 90.00
_cell_angle_beta 90.00
_cell_angle_gamma 90.00
loop_
_atom_site_label
_atom_site_type_symbol
_atom_site_fract_x
_atom_site_fract_y
_atom_site_fract_z
Ru1 Ru 0.0000 0.0000 0.0000
N1 N 0.0000 0.0000 0.3858
Cl1 Cl 0.0000 0.5000 0.2500
```

---

Ca4Cd5Ge2 | PBE | relaxed

Calculated values
DFT total energy   -2.341 eV/atom
Magnetization   0.00 μB/f.u.
Calculated formation energy   -0.3580 eV/atom
V   26.64 Å³/atom

Structure (CIF):
```
data_Ca4Cd5Ge2
_chemical_formula_sum 'Ca4 Cd5 Ge2'
_symmetry_space_group_name_H-M 'P 1 2/m 1'
_symmetry_Int_Tables_number 10
_cell_length_a 7.5045
_cell_length_b 4.3566
_cell_length_c 8.9767
_cell_angle_alpha 90.00
_cell_angle_beta 93.00
_cell_angle_gamma 90.00
loop_
_symmetry_equiv_pos_as_xyz
'x,y,z'
'-x,-y,-z'
'-x,y,-z'
'x,-y,z'
loop_
_atom_site_label
_atom_site_type_symbol
_atom_site_fract_x
_atom_site_fract_y
_atom_site_fract_z
Ca1 Ca 0.1987 0.0000 0.3497
Ca2 Ca 0.2266 0.0000 0.9190
Cd1 Cd 0.1520 0.5000 0.6251
Cd2 Cd 0.4512 0.5000 0.1596
Cd3 Cd 0.5000 0.5000 0.5000
Ge1 Ge 0.0701 0.5000 0.1316
```

---

CsCuReS2 | PBE | relaxed

Calculated values
DFT total energy   -4.076 eV/atom
Magnetization   4.50 μB/f.u.
E_form (uncorrected)   1.055 eV/atom
V   21.91 Å³/atom

Structure (CIF):
```
data_CsCuReS2
_chemical_formula_sum 'Cs1 Cu1 Re1 S2'
_symmetry_space_group_name_H-M 'P 4/m m m'
_symmetry_Int_Tables_number 123
_symmetry_space_group_name_Hall '-P 4 2'
_cell_length_a 4.7847
_cell_length_b 4.7847
_cell_length_c 4.7858
_cell_angle_alpha 90.00
_cell_angle_beta 90.00
_cell_angle_gamma 90.00
loop_
_atom_site_label
_atom_site_type_symbol
_atom_site_fract_x
_atom_site_fract_y
_atom_site_fract_z
Cs1 Cs 0.0000 0.0000 0.0000
Cu1 Cu 0.5000 0.5000 0.5000
Re1 Re 0.5000 0.5000 0.0000
S1 S 0.0000 0.5000 0.5000
```

---

Tl2BiAu | PBE | relaxed

Calculated values
DFT total energy   -2.879 eV/atom
Magnetization   0.00 μB/f.u.
Calculated formation energy   0.0937 eV/atom
Excess energy over the best structure of this formula in the dataset   104 meV/atom
V   28.54 Å³/atom

Structure (CIF):
```
data_Tl2BiAu
_chemical_formula_sum 'Tl8 Bi4 Au4'
_symmetry_space_group_name_H-M 'I -4 2 d'
_symmetry_Int_Tables_number 122
_symmetry_space_group_name_Hall 'I -4 2bw'
_cell_length_a 4.4265
_cell_length_b 4.4265
_cell_length_c 23.3022
_cell_angle_alpha 90.00
_cell_angle_beta 90.00
_cell_angle_gamma 90.00
loop_
_atom_site_label
_atom_site_type_symbol
_atom_site_fract_x
_atom_site_fract_y
_atom_site_fract_z
Tl1 Tl 0.2416 0.2500 0.1250
Bi1 Bi 0.0000 0.0000 0.5000
Au1 Au 0.0000 0.0000 0.0000
```